No. 1
Material: Sm4Te2AsBr
Method: DFT, PBE
State: relaxed

Lattice parameters (Å, degrees): 4.284 7.554 7.573 71.30 90.00 90.00
Positions (direct):
Sm 0.000 0.732 0.732
Sm 0.000 0.268 0.268
Sm 0.500 0.721 0.278
Sm 0.500 0.279 0.722
Te 0.000 0.000 0.000
Te 0.500 0.000 0.500
As 0.000 0.500 0.500
Br 0.500 0.500 0.000

## Properties
- Formation energy (no corrections): -1.366 eV per atom
- VASP energy: -5.3017 eV per atom


No. 2
Material: SnAs2Br
Method: DFT, PBE
State: relaxed

Lattice parameters (Å, degrees): 7.008 7.008 7.278 61.22 61.22 90.00
Positions (direct):
As 0.651 0.125 0.250
As 0.099 0.625 0.250
As 0.375 0.349 0.750
As 0.875 0.901 0.750
Sn 0.000 0.000 0.000
Sn 0.750 0.250 0.500
Br 0.500 0.500 0.000
Br 0.250 0.750 0.500

## Properties
- Formation energy (no corrections): 0.325 eV per atom
- Energy above the lowest structure with this stoichiometry: 0 meV/atom
- VASP energy: -3.4192 eV per atom


Question: Which of these has the highest VASP energy?
Answer: SnAs2Br


Question: Look up the VASP energy of the second one.
Answer: -3.4192 eV per atom


Question: Look up the VASP energy of the first one.
Answer: -5.3017 eV per atom


Question: What is the formula in the second record?
Answer: SnAs2Br